Crystalline InPCl2F at its relaxed geometry. Source: Alexandria via LeMat-Bulk, functional PBE.

Cell lengths 5.681, 5.681, 3.648 Å; angles 90.00, 90.00, 90.00 degrees
Element x y z (fractional)
Cl 0.500 0.000 0.000
Cl 0.000 0.500 0.000
In 0.500 0.500 0.500
P 0.000 0.000 0.500
F 0.000 0.000 0.000

Summary:
The calculation puts the density of states at the Fermi level at 1.73 states/eV/cell. For the density, the calculation gives 3.32 Mg/m³. The uncorrected formation energy is -1.36 eV per formula unit.